Compound: Ho3TmRh
Source: the Alexandria database
Functional: PBE-GGA
Structure: optimized geometry

Summary:
spin magnetization	0.00	μB per formula unit
E	-5.5189	eV/atom
symmetry	Cm, No. 8
Fermi-level density of states	11.8	states/eV/cell

a b c (Å): 6.224 6.224 13.587
angles (deg): 114.18 114.18 34.87
Fractional coordinates of all 10 atoms:
Ho (0.000, 0.000, 0.000)
Ho (0.014, 0.014, 0.361)
Ho (0.336, 0.336, 0.759)
Ho (0.350, 0.350, 0.123)
Ho (0.559, 0.559, 0.605)
Ho (0.667, 0.667, 0.886)
Tm (0.683, 0.683, 0.237)
Tm (0.792, 0.792, 0.515)
Rh (0.349, 0.349, 0.389)
Rh (0.998, 0.998, 0.730)